ZnCuOs2 | PBE | relaxed

Lattice parameters (Å, degrees): 6.9977 6.9977 5.5365 50.81 50.81 90.00
With the nearest neighbours (Å) after each atom.
Fractional positions:
Zn: 0.0000 0.0000 0.0000  2 Cu 2.48, 4 Os 2.64
Zn: 0.7500 0.2500 0.5000  2 Cu 2.48, 4 Os 2.64
Os: 0.6064 0.1250 0.2500  2 Cu 2.46, 2 Os 2.50, 2 Zn 2.64
Os: 0.1436 0.6250 0.2500  2 Cu 2.46, 2 Os 2.50, 2 Zn 2.64
Os: 0.3750 0.3936 0.7500  2 Cu 2.46, 2 Os 2.50, 2 Zn 2.64
Os: 0.8750 0.8564 0.7500  2 Cu 2.46, 2 Os 2.50, 2 Zn 2.64
Cu: 0.5000 0.5000 0.0000  4 Os 2.46, 2 Zn 2.48
Cu: 0.2500 0.7500 0.5000  4 Os 2.46, 2 Zn 2.48

Values from the calculation:
* SG: I-42d
* E_form: 4.012 eV per formula unit


CoAgRu2 | PBE | relaxed

Lattice parameters (Å, degrees): 2.7247 2.7247 7.6713 90.00 90.00 90.00
With the nearest neighbours (Å) after each atom.
Fractional positions:
Ag: 0.0000 0.0000 0.5109  4 Ag 2.72, 4 Co 2.76, 4 Ru 2.91
Co: 0.5000 0.5000 0.7688  4 Ru 2.59, 4 Co 2.72, 4 Ag 2.76
Ru: 0.0000 0.0000 0.9939  4 Co 2.59, 8 Ru 2.63-2.72
Ru: 0.5000 0.5000 0.2264  8 Ru 2.63-2.72, 4 Ag 2.91

Values from the calculation:
* SG: P4mm
* E_form: 1.356 eV per formula unit


KPrB12 | PBE | relaxed

Lattice parameters (Å, degrees): 5.9172 5.9172 5.9172 60.00 60.00 60.00
With the nearest neighbours (Å) after each atom.
Fractional positions:
K: 0.0000 0.0000 0.0000  24 B 3.08
Pr: 0.5000 0.5000 0.5000  24 B 3.08
B: 0.8989 0.8989 0.6011  5 B 1.69-1.76
B: 0.3989 0.3989 0.1011  5 B 1.69-1.76
B: 0.6011 0.8989 0.6011  5 B 1.69-1.76
B: 0.1011 0.3989 0.1011  5 B 1.69-1.76
B: 0.8989 0.6011 0.6011  5 B 1.69-1.76
B: 0.3989 0.1011 0.1011  5 B 1.69-1.76
B: 0.8989 0.6011 0.8989  5 B 1.69-1.76
B: 0.3989 0.1011 0.3989  5 B 1.69-1.76
B: 0.6011 0.8989 0.8989  5 B 1.69-1.76
B: 0.1011 0.3989 0.3989  5 B 1.69-1.76
B: 0.6011 0.6011 0.8989  5 B 1.69-1.76
B: 0.1011 0.1011 0.3989  5 B 1.69-1.76

Values from the calculation:
* SG: Fm-3m
* E_form: -4.619 eV per formula unit


Sr2AcBr | PBE | relaxed

Lattice parameters (Å, degrees): 4.1270 4.1270 11.5654 79.72 79.72 60.00
With the nearest neighbours (Å) after each atom.
Fractional positions:
Sr: 0.7360 0.7360 0.7920  3 Br 3.35
Sr: 0.2640 0.2640 0.2080  3 Br 3.35
Ac: 0.5000 0.5000 0.5000  6 Sr 4.07, 6 Ac 4.13
Br: 0.0000 0.0000 0.0000  6 Sr 3.35

Values from the calculation:
* SG: R-3m
* energy relative to the elements, uncorrected: -0.73 eV per atom
* energy above the most stable polymorph in this dataset: 0.00 eV/f.u.


La8N4O3 | PBE | relaxed

Lattice parameters (Å, degrees): 7.3965 7.4011 7.4011 90.35 119.66 119.66
With the nearest neighbours (Å) after each atom.
Fractional positions:
La: 0.4798 0.2374 0.2374  2 N 2.53-2.58, 3 O 2.63-2.64
La: 0.0000 0.7577 0.2423  3 N 2.54-2.61, 2 O 2.63
La: 0.9966 0.2433 0.2433  4 N 2.56-2.63, 1 O 2.65
La: 0.5000 0.7519 0.2481  3 N 2.60-2.63, 3 O 2.61-2.64
La: 0.5000 0.2481 0.7519  3 N 2.60-2.63, 3 O 2.61-2.64
La: 0.0034 0.7567 0.7567  4 N 2.56-2.63, 1 O 2.65
La: 0.0000 0.2423 0.7577  3 N 2.54-2.61, 2 O 2.63
La: 0.5202 0.7626 0.7626  2 N 2.53-2.58, 3 O 2.63-2.64
N: 0.5000 0.0000 0.0000  6 La 2.58-2.62
N: 0.0000 0.5000 0.0000  6 La 2.61-2.63
N: 0.0000 0.0000 0.0000  6 La 2.53-2.56
N: 0.0000 0.0000 0.5000  6 La 2.61-2.63
O: 0.5000 0.5000 0.0000  6 La 2.61-2.63
O: 0.5000 0.0000 0.5000  6 La 2.61-2.63
O: 0.5000 0.5000 0.5000  6 La 2.64-2.65

Values from the calculation:
* SG: C2/m
* energy relative to the elements, uncorrected: -1.88 eV per atom


LaInAg2 | PBE | relaxed

Lattice parameters (Å, degrees): 5.0204 3.5467 5.7415 90.01 90.00 90.00
With the nearest neighbours (Å) after each atom.
Fractional positions:
In: 0.0000 0.2504 0.4853  4 Ag 2.82-2.93
Ag: 0.0000 0.2501 0.9950  2 In 2.82-2.93, 2 Ag 2.92
Ag: 0.5000 0.2495 0.2543  2 In 2.84, 2 Ag 2.92
La: 0.5000 0.7500 0.7653  8 Ag 3.32-3.43, 4 In 3.47, 2 La 3.55

Values from the calculation:
* SG: Pmm2
* E_form: -0.796 eV per formula unit


| no. | uncorrected energy (eV per atom) | total moment (μB/cell) | calculated volume (A^3/atom) |
| --- | --- | --- | --- |
| 1 | -5.954 | 1.4 | 15.2 |
| 2 | -6.788 | 1.6 | 14.2 |
| 3 | -6.473 | 0.0 | 10.5 |
| 4 | -3.020 | 0.0 | 41.7 |
| 5 | -7.718 | 1.2 | 19.2 |
| 6 | -3.541 | 0.0 | 25.6 |